Record 1
Density functional theory data (GGA-PBE) for crystalline AcPrIrPb at its relaxed geometry.

Lattice parameters (Å, degrees): 7.724 7.724 7.724 90.00 90.00 90.00
Space group F-43m (No. 216)
Asymmetric unit:
Ac: 0.000 0.000 0.000 (multiplicity 4)
Pr: 0.000 0.000 0.500 (multiplicity 4)
Ir: 0.250 0.250 0.750 (multiplicity 4)
Pb: 0.250 0.250 0.250 (multiplicity 4)

**Formation energy from the elements**: -1.222 eV/f.u.

---

Record 2
Density functional theory data (GGA-PBE) for crystalline NiMoPt3 at its relaxed geometry.

Lattice parameters (Å, degrees): 4.788 4.788 4.788 90.00 90.00 90.00
Space group Pm-3m (No. 221)
Asymmetric unit:
Ni: 0.000 0.000 0.000 (multiplicity 1)
Mo: 0.500 0.500 0.500 (multiplicity 1)
Pt: 0.000 0.500 0.500 (multiplicity 3)

**Formation energy from the elements**: 7.145 eV/f.u.
**Offset from the most stable computed form**: 8.37 eV/f.u.

---

Record 3
Density functional theory data (GGA-PBE) for crystalline GaTcB at its relaxed geometry.

Lattice parameters (Å, degrees): 2.958 5.407 5.828 63.13 75.49 74.20
Space group P1 (No. 1)
Asymmetric unit:
Ga: 0.000 0.000 0.000 (multiplicity 1)
Ga: 0.272 0.528 0.917 (multiplicity 1)
Tc: 0.440 0.708 0.414 (multiplicity 1)
Tc: 0.728 0.218 0.325 (multiplicity 1)
B: 0.056 0.363 0.528 (multiplicity 1)
B: 0.194 0.988 0.623 (multiplicity 1)

**Formation energy from the elements**: 0.132 eV/f.u.